# 1
Li4Cd2PdAu after structural relaxation. Source: the Alexandria database, functional PBE-GGA.

Geometry as CIF:
```
data_Li4Cd2PdAu
_space_group_name_H-M_alt 'I 2 2 2'
_space_group_IT_number 23
_cell_length_a 5.0885
_cell_length_b 5.7719
_cell_length_c 9.2886
_cell_angle_alpha 90.00
_cell_angle_beta 90.00
_cell_angle_gamma 90.00
loop_
_space_group_symop_operation_xyz
'x,y,z'
'-x,-y,z'
'x,-y,-z'
'-x,y,-z'
'x+1/2,y+1/2,z+1/2'
'-x+1/2,-y+1/2,z+1/2'
'x+1/2,-y+1/2,-z+1/2'
'-x+1/2,y+1/2,-z+1/2'
loop_
_atom_site_label
_atom_site_type_symbol
_atom_site_fract_x
_atom_site_fract_y
_atom_site_fract_z
Li1 Li 0.2475 0.1024 0.2483
Cd1 Cd 0.0000 0.2530 0.5000
Pd1 Pd 0.0000 0.0000 0.0000
Au1 Au 0.0000 0.5000 0.0000
```

Results
N(E_F) = 5.4 states/eV/cell
Calculated formation energy = -224.7 kJ/mol of formula units

# 2
Li2Cd4PdAu after structural relaxation. Source: the Alexandria database, functional PBE-GGA.

Geometry as CIF:
```
data_Li2Cd4PdAu
_space_group_name_H-M_alt 'P 1 2/m 1'
_space_group_IT_number 10
_cell_length_a 4.7035
_cell_length_b 4.6749
_cell_length_c 6.6007
_cell_angle_alpha 90.00
_cell_angle_beta 90.34
_cell_angle_gamma 90.00
loop_
_space_group_symop_operation_xyz
'x,y,z'
'-x,-y,-z'
'-x,y,-z'
'x,-y,z'
loop_
_atom_site_label
_atom_site_type_symbol
_atom_site_fract_x
_atom_site_fract_y
_atom_site_fract_z
Li1 Li 0.0000 0.0000 0.0000
Li2 Li 0.5000 0.5000 0.5000
Cd1 Cd 0.9999 0.5000 0.2569
Cd2 Cd 0.4994 0.0000 0.2583
Pd1 Pd 0.0000 0.0000 0.5000
Au1 Au 0.5000 0.5000 0.0000
```

Results
N(E_F) = 3.0 states/eV/cell
Calculated formation energy = -286.2 kJ/mol of formula units

# 3
LiPmCd2Au4 after structural relaxation. Source: the Alexandria database, functional PBE-GGA.

Geometry as CIF:
```
data_LiPmCd2Au4
_space_group_name_H-M_alt 'R -3 m'
_space_group_IT_number 166
_space_group_name_Hall '-R 3 2"'
_cell_length_a 4.7921
_cell_length_b 4.7921
_cell_length_c 24.6055
_cell_angle_alpha 90.00
_cell_angle_beta 90.00
_cell_angle_gamma 120.00
loop_
_atom_site_label
_atom_site_type_symbol
_atom_site_fract_x
_atom_site_fract_y
_atom_site_fract_z
Li1 Li 0.0000 0.0000 0.0000
Pm1 Pm 0.0000 0.0000 0.5000
Cd1 Cd 0.0000 0.0000 0.2543
Au1 Au 0.0000 0.0000 0.1096
Au2 Au 0.0000 0.0000 0.3720
```

Results
N(E_F) = 9.9 states/eV/cell
Calculated formation energy = -386.6 kJ/mol of formula units

# 4
Li2PmCdAu2 after structural relaxation. Source: the Alexandria database, functional PBE-GGA.

Geometry as CIF:
```
data_Li2PmCdAu2
_space_group_name_H-M_alt 'P -3 m 1'
_space_group_IT_number 164
_space_group_name_Hall '-P 3 2"'
_cell_length_a 4.5790
_cell_length_b 4.5790
_cell_length_c 6.6697
_cell_angle_alpha 90.00
_cell_angle_beta 90.00
_cell_angle_gamma 120.00
loop_
_atom_site_label
_atom_site_type_symbol
_atom_site_fract_x
_atom_site_fract_y
_atom_site_fract_z
Li1 Li 0.3333 0.6667 0.1660
Pm1 Pm 0.0000 0.0000 0.5000
Cd1 Cd 0.0000 0.0000 0.0000
Au1 Au 0.3333 0.6667 0.7581
```

Results
N(E_F) = 3.2 states/eV/cell
Calculated formation energy = -316.3 kJ/mol of formula units